The following is a GGA+U calculation of a relaxed structure of LiVCO5, from the Alexandria database.

Values from the calculation:
Size of the total moment ... 0.00 μB per cell
V ... 9.27 Å³/atom
VASP energy ... -223.02 eV per cell
Calculated density ... 3.4 g cm⁻³

Cell and atoms, written as CIF:
```
data_LiVCO5
_space_group_name_H-M_alt 'C 1 2/c 1'
_space_group_IT_number 15
_cell_length_a 6.2434
_cell_length_b 7.7304
_cell_length_c 6.8567
_cell_angle_alpha 90.00
_cell_angle_beta 116.37
_cell_angle_gamma 90.00
loop_
_space_group_symop_operation_xyz
'x,y,z'
'-x,-y,-z'
'-x,y,-z+1/2'
'x,-y,z+1/2'
'x+1/2,y+1/2,z'
'-x+1/2,-y+1/2,-z'
'-x+1/2,y+1/2,-z+1/2'
'x+1/2,-y+1/2,z+1/2'
loop_
_atom_site_label
_atom_site_type_symbol
_atom_site_fract_x
_atom_site_fract_y
_atom_site_fract_z
Li1 Li 0.0000 0.1614 0.2500
V1 V 0.0000 0.5000 0.0000
C1 C 0.0000 0.1778 0.7500
O1 O 0.0000 0.4143 0.2500
O2 O 0.0970 0.2774 0.6397
O3 O 0.1736 0.0651 0.8996
```